Record 1
Density functional theory data (GGA-PBE) for an optimized crystal structure of Cd5TeS4.

Lattice parameters (Å, degrees): 4.2820 4.2820 17.7211 83.06 83.06 60.00
Last column: nearest neighbours and their distance in Å.
Sites, in units of the cell vectors:
Cd (0.5940, 0.5940, 0.2181)  1 S 2.55, 3 Te 2.78
Cd (0.1972, 0.1972, 0.4084)  4 S 2.57-2.60
Cd (0.4029, 0.4029, 0.7914)  4 S 2.57-2.59
Cd (0.0055, 0.0055, 0.9834)  3 S 2.60, 1 Te 2.85
Cd (0.8000, 0.8000, 0.6000)  4 S 2.57-2.60
S (0.5456, 0.5456, 0.3632)  4 Cd 2.55-2.60
S (0.7512, 0.7512, 0.7465)  4 Cd 2.57-2.59
S (0.1484, 0.1484, 0.5549)  4 Cd 2.57-2.60
S (0.3540, 0.3540, 0.9381)  4 Cd 2.57-2.60
Te (0.9513, 0.9513, 0.1460)  4 Cd 2.78-2.85

Properties
**ΔE_f (raw)**: -0.5731 eV/atom
**Distance to the lowest polymorph of the same formula**: 0.009 eV/atom

Record 2
Density functional theory data (GGA-PBE) for an optimized crystal structure of CdTeS.

Lattice parameters (Å, degrees): 4.3702 4.6324 5.5672 107.31 108.36 99.09
Last column: nearest neighbours and their distance in Å.
Sites, in units of the cell vectors:
Cd (0.3027, 0.7130, 0.3250)  2 S 2.52-2.73
Te (0.9179, 0.0727, 0.0628)  1 S 2.47
S (0.9228, 0.9470, 0.6009)  1 Te 2.47, 2 Cd 2.52-2.73

Properties
**ΔE_f (raw)**: -0.1729 eV/atom
**Distance to the lowest polymorph of the same formula**: 0.021 eV/atom

Record 3
Density functional theory data (GGA-PBE) for an optimized crystal structure of CdTe2S4.

Lattice parameters (Å, degrees): 4.4204 6.0044 16.0544 90.00 81.92 90.00
Last column: nearest neighbours and their distance in Å.
Sites, in units of the cell vectors:
Te (0.5228, 0.0260, 0.8369)  3 S 2.40-2.67
Te (0.5228, 0.4740, 0.3369)  3 S 2.40-2.67
Te (0.4772, 0.9740, 0.1631)  3 S 2.40-2.67
Te (0.4772, 0.5260, 0.6631)  3 S 2.40-2.67
S (0.4747, 0.6233, 0.0908)  1 Te 2.41, 1 Cd 2.67
S (0.9692, 0.3715, 0.6111)  2 Te 2.40-2.67
S (0.9692, 0.1285, 0.1111)  2 Te 2.40-2.67
S (0.5253, 0.1233, 0.4092)  1 Te 2.41, 1 Cd 2.67
S (0.0308, 0.6285, 0.3889)  2 Te 2.40-2.67
S (0.0308, 0.8715, 0.8889)  2 Te 2.40-2.67
S (0.4747, 0.8767, 0.5908)  1 Te 2.41, 1 Cd 2.67
S (0.5253, 0.3767, 0.9092)  1 Te 2.41, 1 Cd 2.67
Cd (0.0000, 0.0000, 0.5000)  6 S 2.67-2.85
Cd (0.0000, 0.5000, 0.0000)  6 S 2.67-2.85

Properties
**ΔE_f (raw)**: 0.0256 eV/atom

Record 4
Density functional theory data (GGA-PBE) for an optimized crystal structure of Cd2Te3S8.

Lattice parameters (Å, degrees): 6.6813 7.8769 7.8999 120.51 108.52 89.10
Last column: nearest neighbours and their distance in Å.
Sites, in units of the cell vectors:
Cd (0.9838, 0.2486, 0.5017)  5 S 2.64-2.83
Cd (0.0162, 0.7514, 0.4983)  5 S 2.64-2.83
Te (0.9890, 0.7382, 0.9896)  4 S 2.47-2.75
Te (0.0110, 0.2618, 0.0104)  4 S 2.47-2.75
Te (0.5000, 0.0000, 0.0000)  6 S 2.68-2.73
S (0.2629, 0.1465, 0.2441)  2 Te 2.60-2.68
S (0.7664, 0.3997, 0.7604)  1 Te 2.47, 1 Cd 2.66
S (0.7539, 0.8844, 0.2488)  2 Cd 2.64-2.81, 2 Te 2.69-2.75
S (0.7680, 0.3616, 0.2396)  2 Te 2.63-2.73, 2 Cd 2.66-2.83
S (0.2320, 0.6384, 0.7604)  2 Te 2.63-2.73, 2 Cd 2.66-2.83
S (0.7371, 0.8535, 0.7559)  2 Te 2.60-2.68
S (0.2461, 0.1156, 0.7512)  2 Cd 2.64-2.81, 2 Te 2.69-2.75
S (0.2336, 0.6003, 0.2396)  1 Te 2.47, 1 Cd 2.66

Properties
**ΔE_f (raw)**: -0.0770 eV/atom

Record 5
Density functional theory data (GGA-PBE) for an optimized crystal structure of Cd2TeS.

Lattice parameters (Å, degrees): 5.1050 5.1050 5.1050 60.00 60.00 60.00
Last column: nearest neighbours and their distance in Å.
Sites, in units of the cell vectors:
Te (0.5000, 0.5000, 0.5000)  8 Cd 3.13
Cd (0.2500, 0.2500, 0.2500)  4 S 3.13, 4 Te 3.13
Cd (0.7500, 0.7500, 0.7500)  4 S 3.13, 4 Te 3.13
S (0.0000, 0.0000, 0.0000)  8 Cd 3.13

Properties
**ΔE_f (raw)**: 0.1017 eV/atom
**Distance to the lowest polymorph of the same formula**: 0.631 eV/atom

Record 6
Density functional theory data (GGA-PBE) for an optimized crystal structure of CdTeS5.

Lattice parameters (Å, degrees): 4.0491 14.0430 15.4294 145.87 128.39 50.50
Last column: nearest neighbours and their distance in Å.
Sites, in units of the cell vectors:
S (0.6517, 0.7775, 0.8847)  1 S 2.06
S (0.2131, 0.4036, 0.1303)  1 S 2.06
S (0.9670, 0.6505, 0.5101)  1 Te 2.33
S (0.0788, 0.7371, 0.2434)  1 S 2.06
S (0.5696, 0.9601, 0.3058)  1 S 2.06
S (0.0330, 0.3495, 0.4899)  1 Te 2.33
S (0.4304, 0.0399, 0.6942)  1 S 2.06
S (0.9212, 0.2629, 0.7566)  1 S 2.06
S (0.3483, 0.2225, 0.1153)  1 S 2.06
S (0.7869, 0.5964, 0.8697)  1 S 2.06
Cd (0.5000, 0.5000, 0.0000)  4 S 2.56-2.85
Cd (0.0000, 0.0000, 0.0000)  2 S 2.46
Te (0.7934, 0.2578, 0.5579)  1 S 2.33
Te (0.2066, 0.7422, 0.4421)  1 S 2.33

Properties
**ΔE_f (raw)**: 0.0417 eV/atom

Question: ΔE_f (raw) of number 4 (Cd2Te3S8)?
Answer: -0.0770 eV/atom

Question: ΔE_f (raw) of number 4 (Cd2Te3S8)?
Answer: -0.0770 eV/atom

Question: Which value of ΔE_f (raw) does entry 6 give?
Answer: 0.0417 eV/atom